No. 1
TaNiH2O: optimized geometry, PBEsol.

```
data_TaNiH2O
_chemical_formula_sum 'Ta1 Ni1 H2 O1'
_symmetry_space_group_name_H-M 'P 1'
_symmetry_Int_Tables_number 1
_cell_length_a 3.497
_cell_length_b 3.497
_cell_length_c 3.960
_cell_angle_alpha 90.00
_cell_angle_beta 90.00
_cell_angle_gamma 90.00
loop_
_symmetry_equiv_pos_as_xyz
'x,y,z'
loop_
_atom_site_label
_atom_site_fract_x
_atom_site_fract_y
_atom_site_fract_z
H1 0.000 0.500 0.000
H2 0.500 0.000 0.000
O1 0.000 0.000 0.000
Ta1 0.000 0.000 0.500
Ni1 0.500 0.500 0.500
```

Output
DOS at the Fermi energy   0.64 states/eV/atom
Space-group type   P4/mmm
Crystal system   tetragonal

No. 2
Ni2PH: optimized geometry, PBEsol.

```
data_Ni2PH
_chemical_formula_sum 'Ni2 P1 H1'
_symmetry_space_group_name_H-M 'P 1'
_symmetry_Int_Tables_number 1
_cell_length_a 3.716
_cell_length_b 3.716
_cell_length_c 3.716
_cell_angle_alpha 60.00
_cell_angle_beta 60.00
_cell_angle_gamma 60.00
loop_
_symmetry_equiv_pos_as_xyz
'x,y,z'
loop_
_atom_site_label
_atom_site_fract_x
_atom_site_fract_y
_atom_site_fract_z
P1 0.500 0.500 0.500
Ni1 0.750 0.750 0.750
H1 0.000 0.000 0.000
Ni2 0.250 0.250 0.250
```

Output
DOS at the Fermi energy   0.57 states/eV/atom
Space-group type   Fm-3m
Crystal system   cubic

No. 3
Ni3HPb: optimized geometry, PBEsol.

```
data_Ni3HPb
_chemical_formula_sum 'Ni3 H1 Pb1'
_symmetry_space_group_name_H-M 'P 1'
_symmetry_Int_Tables_number 1
_cell_length_a 3.783
_cell_length_b 3.783
_cell_length_c 3.783
_cell_angle_alpha 90.00
_cell_angle_beta 90.00
_cell_angle_gamma 90.00
loop_
_symmetry_equiv_pos_as_xyz
'x,y,z'
loop_
_atom_site_label
_atom_site_fract_x
_atom_site_fract_y
_atom_site_fract_z
Pb1 0.500 0.500 0.500
Ni1 0.000 0.000 0.500
Ni2 0.000 0.500 0.000
H1 0.000 0.000 0.000
Ni3 0.500 0.000 0.000
```

Output
DOS at the Fermi energy   0.66 states/eV/atom
Space-group type   Pm-3m
Crystal system   cubic

No. 4
NiH2Pd: optimized geometry, PBEsol.

```
data_NiH2Pd
_chemical_formula_sum 'Ni2 H4 Pd2'
_symmetry_space_group_name_H-M 'P 1'
_symmetry_Int_Tables_number 1
_cell_length_a 3.948
_cell_length_b 3.948
_cell_length_c 4.926
_cell_angle_alpha 113.63
_cell_angle_beta 113.63
_cell_angle_gamma 90.00
loop_
_symmetry_equiv_pos_as_xyz
'x,y,z'
loop_
_atom_site_label
_atom_site_fract_x
_atom_site_fract_y
_atom_site_fract_z
H1 0.625 0.587 0.750
Pd1 0.250 0.750 0.500
Pd2 0.000 0.000 0.000
Ni1 0.750 0.250 0.500
Ni2 0.500 0.500 0.000
H2 0.413 0.875 0.250
H3 0.837 0.375 0.250
H4 0.125 0.163 0.750
```

Output
DOS at the Fermi energy   0.27 states/eV/atom
Space-group type   I-42d
Crystal system   tetragonal

No. 5
Ni3HPd: optimized geometry, PBEsol.

```
data_Ni3HPd
_chemical_formula_sum 'Ni3 H1 Pd1'
_symmetry_space_group_name_H-M 'P 1'
_symmetry_Int_Tables_number 1
_cell_length_a 3.626
_cell_length_b 3.626
_cell_length_c 3.626
_cell_angle_alpha 90.00
_cell_angle_beta 90.00
_cell_angle_gamma 90.00
loop_
_symmetry_equiv_pos_as_xyz
'x,y,z'
loop_
_atom_site_label
_atom_site_fract_x
_atom_site_fract_y
_atom_site_fract_z
Ni1 0.500 0.000 0.000
Pd1 0.500 0.500 0.500
H1 0.000 0.000 0.000
Ni2 0.000 0.000 0.500
Ni3 0.000 0.500 0.000
```

Output
DOS at the Fermi energy   1.66 states/eV/atom
Space-group type   Pm-3m
Crystal system   cubic

No. 6
PrNiSnH: optimized geometry, PBEsol.

```
data_PrNiSnH
_chemical_formula_sum 'Pr4 Ni4 Sn4 H4'
_symmetry_space_group_name_H-M 'P 1'
_symmetry_Int_Tables_number 1
_cell_length_a 4.356
_cell_length_b 7.165
_cell_length_c 8.401
_cell_angle_alpha 90.00
_cell_angle_beta 90.00
_cell_angle_gamma 90.00
loop_
_symmetry_equiv_pos_as_xyz
'x,y,z'
loop_
_atom_site_label
_atom_site_fract_x
_atom_site_fract_y
_atom_site_fract_z
Sn1 0.750 0.159 0.931
H1 0.750 0.060 0.582
Ni1 0.250 0.719 0.401
Pr1 0.750 0.013 0.310
Pr2 0.750 0.513 0.190
H2 0.250 0.940 0.418
Sn2 0.250 0.341 0.431
Sn3 0.750 0.659 0.569
H3 0.750 0.560 0.918
Pr3 0.250 0.487 0.810
Ni2 0.750 0.781 0.901
Ni3 0.750 0.281 0.599
Sn4 0.250 0.841 0.069
Pr4 0.250 0.987 0.690
H4 0.250 0.440 0.082
Ni4 0.250 0.219 0.099
```

Output
DOS at the Fermi energy   0.45 states/eV/atom
Space-group type   Pnma
Crystal system   orthorhombic

No. 7
ReNiH2: optimized geometry, PBEsol.

```
data_ReNiH2
_chemical_formula_sum 'Re1 Ni1 H2'
_symmetry_space_group_name_H-M 'P 1'
_symmetry_Int_Tables_number 1
_cell_length_a 3.525
_cell_length_b 3.525
_cell_length_c 3.525
_cell_angle_alpha 60.00
_cell_angle_beta 60.00
_cell_angle_gamma 60.00
loop_
_symmetry_equiv_pos_as_xyz
'x,y,z'
loop_
_atom_site_label
_atom_site_fract_x
_atom_site_fract_y
_atom_site_fract_z
H1 0.250 0.250 0.250
Ni1 0.000 0.000 0.000
Re1 0.500 0.500 0.500
H2 0.750 0.750 0.750
```

Output
DOS at the Fermi energy   0.45 states/eV/atom
Space-group type   Fm-3m
Crystal system   cubic

No. 8
Y2ReNiH: optimized geometry, PBEsol.

```
data_Y2ReNiH
_chemical_formula_sum 'Y2 Re1 Ni1 H1'
_symmetry_space_group_name_H-M 'P 1'
_symmetry_Int_Tables_number 1
_cell_length_a 3.401
_cell_length_b 5.233
_cell_length_c 5.233
_cell_angle_alpha 90.00
_cell_angle_beta 90.00
_cell_angle_gamma 90.00
loop_
_symmetry_equiv_pos_as_xyz
'x,y,z'
loop_
_atom_site_label
_atom_site_fract_x
_atom_site_fract_y
_atom_site_fract_z
Re1 0.000 0.000 0.000
H1 0.500 0.000 0.000
Y1 0.000 0.500 0.000
Y2 0.000 0.000 0.500
Ni1 0.500 0.500 0.500
```

Output
DOS at the Fermi energy   0.51 states/eV/atom
Space-group type   P4/mmm
Crystal system   tetragonal

no.,energy (eV per cell)
1,-28.684
2,-21.481
3,-25.711
4,-38.088
5,-27.759
6,-85.785
7,-23.283
8,-33.730